The following is a PBE calculation of a geometry-optimized ZnBi2BIr structure, from Alexandria via LeMat-Bulk.

Cell and atoms, written as extended XYZ:
```
5
Lattice="5.3804 0.0000 0.0000 0.0000 5.3804 0.0000 0.0000 0.0000 3.7186" Properties=species:S:1:pos:R:3 pbc="T T T"
Zn 0.0000 0.0000 0.0000
Bi 0.0000 2.6902 0.0000
Bi 2.6902 0.0000 0.0000
B 0.0000 0.0000 1.8593
Ir 2.6902 2.6902 1.8593
```

## Properties
density of states at the Fermi level = 3.08 states/eV/f.u.
E above lowest polymorph = 0.0 meV per atom
energy of formation from the pure elements = 1144 meV per atom
crystal system = tetragonal
M_tot = 0.00 μB/f.u.